Entry 1:
Entry from Alexandria: a geometry-optimized MgCdW2 structure (PBEsol).

SG: P4/mmm
Mass density in g cm⁻³: 12.35
Formation energy in meV/atom: 591
E_tot in eV per cell: -28.2

Lattice parameters (Å, degrees): 2.719 2.719 9.171 90.00 90.00 90.00
Fractional positions:
W 0.000 0.000 0.252
W 0.000 0.000 0.748
Mg 0.500 0.500 0.500
Cd 0.500 0.500 0.000

=====

Entry 2:
Entry from Alexandria: a geometry-optimized Gd2C structure (PBEsol).

SG: R-3m
Mass density in g cm⁻³: 7.97
Formation energy in meV/atom: -280
E_tot in eV per cell: -39.4

Lattice parameters (Å, degrees): 3.589 3.589 6.442 73.83 73.83 60.00
Each line ends with the local moment (μB).
Fractional positions:
C 0.500 0.500 0.500  -0.09
Gd 0.760 0.760 0.720  7.20
Gd 0.240 0.240 0.280  7.20

=====

Entry 3:
Entry from Alexandria: a geometry-optimized BaAs2Cl structure (PBEsol).

SG: I-42d
Formation energy from raw total energies in eV/atom: -0.8858
Mass density in g cm⁻³: 4.71
E_tot in eV per cell: -35.8

Lattice parameters (Å, degrees): 4.176 4.176 13.371 98.98 98.98 90.00
Fractional positions:
Cl 0.750 0.250 0.500
Cl 0.500 0.500 0.000
Ba 0.250 0.750 0.500
Ba 0.000 0.000 0.000
As 0.451 0.375 0.250
As 0.125 0.549 0.750
As 0.625 0.201 0.750
As 0.799 0.875 0.250

=====

Entry 4:
Entry from Alexandria: a geometry-optimized InSi2Mo structure (PBEsol).

SG: I-4m2
Formation energy from raw total energies in eV/atom: 0.3860
Mass density in g cm⁻³: 7.02
E_tot in eV per cell: -24.7

Lattice parameters (Å, degrees): 3.858 3.858 5.046 112.47 112.47 90.00
Each line ends with the local moment (μB).
Fractional positions:
In 0.500 0.500 0.000  0.00
Mo 0.250 0.750 0.500  0.59
Si 0.000 0.000 0.000  -0.01
Si 0.750 0.250 0.500  0.00

=====

Entry 5:
Entry from Alexandria: a geometry-optimized Mn2NiAs structure (PBEsol).

SG: I-4m2
Mass density in g cm⁻³: 8.83
Formation energy in meV/atom: -34
E_tot in eV per cell: -30.9

Lattice parameters (Å, degrees): 3.630 3.630 4.321 114.83 114.83 90.00
Each line ends with the local moment (μB).
Fractional positions:
Ni 0.500 0.500 0.000  0.12
Mn 0.000 0.000 0.000  -1.30
Mn 0.750 0.250 0.500  2.39
As 0.250 0.750 0.500  0.01

=====

Entry 6:
Entry from Alexandria: a geometry-optimized Al6B5O15F3 structure (PBEsol).

SG: P6_3/m
Formation energy from raw total energies in eV/atom: -2.9117
Mass density in g cm⁻³: 3.26
E_tot in eV per cell: -457.2

Lattice parameters (Å, degrees): 8.194 8.577 8.577 120.00 90.00 90.00
Fractional positions:
O 0.750 0.117 0.303
O 0.898 0.285 0.196
O 0.946 0.439 0.850
O 0.398 0.089 0.285
O 0.554 0.439 0.850
O 0.946 0.150 0.589
O 0.750 0.697 0.814
O 0.602 0.911 0.715
O 0.250 0.883 0.697
O 0.898 0.911 0.715
O 0.446 0.561 0.150
O 0.054 0.589 0.439
O 0.102 0.196 0.911
O 0.750 0.186 0.883
O 0.398 0.715 0.804
O 0.446 0.850 0.411
O 0.554 0.150 0.589
O 0.602 0.804 0.089
O 0.602 0.285 0.196
O 0.554 0.411 0.561
O 0.250 0.814 0.117
O 0.398 0.196 0.911
O 0.898 0.804 0.089
O 0.946 0.411 0.561
O 0.102 0.089 0.285
O 0.250 0.303 0.186
O 0.054 0.561 0.150
O 0.054 0.850 0.411
O 0.102 0.715 0.804
O 0.446 0.589 0.439
B 0.250 0.998 0.231
B 0.446 0.667 0.333
B 0.054 0.667 0.333
B 0.750 0.002 0.769
B 0.250 0.769 0.767
B 0.250 0.233 0.002
B 0.750 0.231 0.233
B 0.946 0.333 0.667
B 0.750 0.767 0.998
B 0.554 0.333 0.667
Al 0.075 0.015 0.663
Al 0.075 0.337 0.352
Al 0.575 0.985 0.337
Al 0.425 0.648 0.985
Al 0.575 0.663 0.648
Al 0.925 0.352 0.015
Al 0.425 0.337 0.352
Al 0.925 0.985 0.337
Al 0.925 0.663 0.648
Al 0.075 0.648 0.985
Al 0.575 0.352 0.015
Al 0.425 0.015 0.663
F 0.750 0.887 0.388
F 0.250 0.113 0.612
F 0.250 0.499 0.887
F 0.750 0.501 0.113
F 0.250 0.388 0.501
F 0.750 0.612 0.499

=====

Entry 7:
Entry from Alexandria: a geometry-optimized LaRe3F structure (PBEsol).

SG: Pm-3m
Formation energy from raw total energies in eV/atom: 3.3269
Mass density in g cm⁻³: 11.02
E_tot in eV per cell: -30.6

Lattice parameters (Å, degrees): 4.761 4.761 4.761 90.00 90.00 90.00
Fractional positions:
Re 0.500 0.000 0.000
Re 0.000 0.500 0.000
Re 0.000 0.000 0.500
La 0.000 0.000 0.000
F 0.500 0.500 0.500

=====

Entry 8:
Entry from Alexandria: a geometry-optimized LaScSi structure (PBEsol).

SG: P-6m2
Formation energy from raw total energies in eV/atom: -0.4570
Mass density in g cm⁻³: 4.69
E_tot in eV per cell: -19.1

Lattice parameters (Å, degrees): 4.144 4.573 4.573 120.00 90.00 90.00
Fractional positions:
La 0.000 0.000 0.000
Sc 0.500 0.333 0.667
Si 0.499 0.667 0.333

=====

Entry 9:
Entry from Alexandria: a geometry-optimized BeHgCl structure (PBEsol).

SG: P3m1
Formation energy from raw total energies in eV/atom: -0.2314
Mass density in g cm⁻³: 6.69
E_tot in eV per cell: -7.3

Lattice parameters (Å, degrees): 3.172 3.172 6.976 90.00 90.00 120.00
Fractional positions:
Be 0.000 0.000 0.970
Hg 0.667 0.333 0.232
Cl 0.333 0.667 0.798

=====

Entry 10:
Entry from Alexandria: a geometry-optimized Tl2IF2 structure (PBEsol).

SG: I4/mmm
Formation energy from raw total energies in eV/atom: -1.2981
Mass density in g cm⁻³: 8.44
E_tot in eV per cell: -17.4

Lattice parameters (Å, degrees): 4.092 4.092 7.331 106.21 106.21 90.00
Fractional positions:
I 0.000 0.000 0.000
Tl 0.357 0.357 0.714
Tl 0.643 0.643 0.286
F 0.250 0.750 0.500
F 0.750 0.250 0.500

=====

Entry 11:
Entry from Alexandria: a geometry-optimized Os2RuRh structure (PBEsol).

SG: I4/mmm
Mass density in g cm⁻³: 17.76
Formation energy in meV/atom: 103
E_tot in eV per cell: -42.3

Lattice parameters (Å, degrees): 3.786 3.786 4.658 113.98 113.98 90.00
Fractional positions:
Os 0.250 0.750 0.500
Os 0.750 0.250 0.500
Ru 0.500 0.500 0.000
Rh 0.000 0.000 0.000

=====

Entry 12:
Entry from Alexandria: a geometry-optimized IrPb2W structure (PBEsol).

SG: Fm-3m
Mass density in g cm⁻³: 17.46
Formation energy in meV/atom: 961
E_tot in eV per cell: -27.8

Lattice parameters (Å, degrees): 4.737 4.737 4.737 60.00 60.00 60.00
Fractional positions:
Ir 0.000 0.000 0.000
Pb 0.750 0.750 0.750
Pb 0.250 0.250 0.250
W 0.500 0.500 0.500